DFT (PBE) results for a relaxed structure of TcIO3.

The structure in POSCAR format:
```
TcIO3
1.0
4.1879 0.0000 0.0000
0.0000 4.1879 0.0000
0.0000 0.0000 4.1879
Tc I O
1 1 3
Direct
0.0000 0.0000 0.0000 Tc
0.5000 0.5000 0.5000 I
0.0000 0.5000 0.5000 O
0.5000 0.0000 0.5000 O
0.5000 0.5000 0.0000 O
```

## Properties
Crystal system ... cubic
Uncorrected formation energy ... 0.64 eV/atom
Total DFT energy (no corrections) ... -4.71 eV per atom
Calculated volume ... 73.5 Å³ per cell
Space group ... Pm-3m